TlSbPbSe3 after structural relaxation. Source: Alexandria, functional PBE.

Magnetization = 0.00 μB/f.u.
Space group = P2_1/m
Crystal system = monoclinic
E = -22.71 eV/f.u.

a = 8.9542 Å, b = 4.1867 Å, c = 10.4137 Å
α = 90.00°, β = 92.42°, γ = 90.00°
Fractional positions:
Tl1 0.1401 0.2500 0.1769
Tl2 0.8599 0.7500 0.8231
Sb1 0.3755 0.7500 0.8663
Sb2 0.6245 0.2500 0.1337
Pb1 0.1464 0.2500 0.5971
Pb2 0.8536 0.7500 0.4029
Se1 0.1439 0.2500 0.8761
Se2 0.3546 0.7500 0.5889
Se3 0.4053 0.7500 0.1441
Se4 0.5947 0.2500 0.8559
Se5 0.6454 0.2500 0.4111
Se6 0.8561 0.7500 0.1239



Tl2SbPbSe4 after structural relaxation. Source: Alexandria, functional PBE.

Magnetization = 0.00 μB/f.u.
Space group = Imma
Crystal system = orthorhombic
E = -29.45 eV/f.u.

a = 8.7104 Å, b = 8.7104 Å, c = 8.7104 Å
α = 121.11°, β = 119.07°, γ = 89.85°
Fractional positions:
Tl1 0.0000 0.0000 0.0000
Tl2 0.5000 0.0000 0.0000
Tl3 0.5000 0.0000 0.5000
Tl4 0.5000 0.5000 0.5000
Sb1 0.0000 0.0000 0.5000
Sb2 0.0000 0.5000 0.0000
Pb1 0.0000 0.5000 0.5000
Pb2 0.5000 0.5000 0.0000
Se1 0.2239 0.7477 0.4762
Se2 0.2285 0.2523 0.9762
Se3 0.2377 0.2418 0.5042
Se4 0.2377 0.7335 0.9958
Se5 0.7623 0.2665 0.0042
Se6 0.7623 0.7582 0.4958
Se7 0.7715 0.7477 0.0238
Se8 0.7761 0.2523 0.5238



Tm4SbPbSe2 after structural relaxation. Source: Alexandria, functional PBE.

Magnetization = 0.00 μB/f.u.
Space group = P2/m
Crystal system = monoclinic
E = -42.33 eV/f.u.

a = 7.2599 Å, b = 4.2185 Å, c = 7.3024 Å
α = 90.00°, β = 109.55°, γ = 90.00°
Fractional positions:
Tm1 0.2420 0.0000 0.2460
Tm2 0.2415 0.5000 0.7482
Tm3 0.7580 0.0000 0.7540
Tm4 0.7585 0.5000 0.2518
Sb1 0.5000 0.5000 0.5000
Pb1 0.5000 0.0000 0.0000
Se1 0.0000 0.0000 0.5000
Se2 0.0000 0.5000 0.0000



Y6Sb3PbSe2 after structural relaxation. Source: Alexandria, functional PBE.

Magnetization = 0.00 μB/f.u.
Space group = C2/m
Crystal system = monoclinic
E = -77.00 eV/f.u.

a = 9.6133 Å, b = 9.6133 Å, c = 8.6485 Å
α = 102.76°, β = 102.76°, γ = 25.89°
Fractional positions:
Y1 0.0039 0.0039 0.2537
Y2 0.3314 0.3314 0.4196
Y3 0.3319 0.3319 0.9115
Y4 0.6681 0.6681 0.0885
Y5 0.6686 0.6686 0.5804
Y6 0.9961 0.9961 0.7463
Sb1 0.1658 0.1658 0.8311
Sb2 0.5000 0.5000 0.5000
Sb3 0.8342 0.8342 0.1689
Pb1 0.5000 0.5000 0.0000
Se1 0.1693 0.1693 0.3380
Se2 0.8307 0.8307 0.6620